{"formula": "HoP2RuRh2", "functional": "GGA-PBE", "state": "optimized geometry", "cell": [[-0.342, 0.634, 4.083], [3.675, -0.994, -1.643], [1.276, 6.105, -0.841]], "species": ["P", "P", "Rh", "Rh", "Ru", "Ho"], "fractional_positions": [[0.667, 0.333, 0.693], [0.333, 0.667, 0.307], [0.667, 0.333, 0.296], [0.333, 0.667, 0.704], [0.000, 0.000, 0.500], [0.000, 0.000, 0.000]], "density_g_cm3": 9.5, "vol_a3_per_atom": 15.6, "dft_energy_ry_per_atom": -0.5369, "total_magnetization_mub_per_atom": 0.00}

{"formula": "HoSbP2Rh5", "functional": "GGA-PBE", "state": "optimized geometry", "cell": [[4.021, 0.000, 0.000], [0.000, 4.021, 0.000], [0.000, 0.000, 10.221]], "species": ["Rh", "Rh", "Rh", "Rh", "Rh", "Sb", "P", "P", "Ho"], "fractional_positions": [[0.500, 0.500, 0.500], [0.500, 0.000, 0.173], [0.500, 0.000, 0.827], [0.000, 0.500, 0.173], [0.000, 0.500, 0.827], [0.000, 0.000, 0.000], [0.500, 0.500, 0.721], [0.500, 0.500, 0.279], [0.000, 0.000, 0.500]], "density_g_cm3": 8.7, "vol_a3_per_atom": 18.4, "dft_energy_ry_per_atom": -0.5112, "total_magnetization_mub_per_atom": 0.00, "formation_energy_uncorrected_ev_per_atom": -0.70}

{"formula": "Ho3ScP2Rh9", "functional": "GGA-PBE", "state": "optimized geometry", "cell": [[6.007, 0.000, 0.000], [-3.004, 5.202, 0.000], [0.000, 0.000, 9.164]], "species": ["Ho", "Ho", "Ho", "Rh", "Rh", "Rh", "Rh", "Rh", "Rh", "Rh", "Rh", "Rh", "Sc", "P", "P"], "fractional_positions": [[0.000, 0.000, 0.000], [0.333, 0.667, 0.699], [0.667, 0.333, 0.301], [0.500, 0.000, 0.000], [0.152, 0.848, 0.278], [0.000, 0.500, 0.000], [0.848, 0.695, 0.722], [0.152, 0.305, 0.278], [0.305, 0.152, 0.722], [0.500, 0.500, 0.000], [0.695, 0.848, 0.278], [0.848, 0.152, 0.722], [0.000, 0.000, 0.500], [0.333, 0.667, 0.159], [0.667, 0.333, 0.841]], "density_g_cm3": 8.9, "vol_a3_per_atom": 19.1, "dft_energy_ry_per_atom": -0.5201, "total_magnetization_mub_per_atom": 0.00}